1.
## MgScS3 (PBE-GGA)

Data for a relaxed structure of MgScS3.

Cell: 6.798 6.798 6.634 Å, 106.93 106.93 114.59°
Sites, in units of the cell vectors:
Mg: 0.161 0.839 0.000
Mg: 0.839 0.161 0.000
Sc: 0.281 0.281 0.754
Sc: 0.719 0.719 0.246
S: 0.088 0.088 0.304
S: 0.285 0.579 0.157
S: 0.421 0.715 0.843
S: 0.579 0.285 0.157
S: 0.715 0.421 0.843
S: 0.912 0.912 0.696

## Properties
**Raw formation energy**: -1.202 eV/atom
**Density of states at the Fermi level**: 0.4 states/eV/f.u.
**Energy**: -5.2638 eV per atom
**Density**: 2.340 g cm⁻³
**E above lowest polymorph**: 86 meV per atom


2.
## SrMgSc4S8 (PBE-GGA)

Data for a relaxed structure of SrMgSc4S8.

Cell: 7.805 7.805 7.805 Å, 59.73 59.73 59.73°
Sites, in units of the cell vectors:
Sr: 0.000 0.000 0.000
Mg: 0.376 0.376 0.376
Sc: 0.374 0.374 0.887
Sc: 0.374 0.887 0.374
Sc: 0.754 0.754 0.754
Sc: 0.887 0.374 0.374
S: 0.143 0.143 0.143
S: 0.144 0.144 0.572
S: 0.144 0.572 0.144
S: 0.148 0.622 0.622
S: 0.572 0.144 0.144
S: 0.621 0.621 0.621
S: 0.622 0.148 0.622
S: 0.622 0.622 0.148

## Properties
**Raw formation energy**: -1.763 eV/atom
**Density of states at the Fermi level**: 0.0 states/eV/f.u.
**Energy**: -6.1645 eV per atom
**Density**: 2.725 g cm⁻³


Which formula does entry 2 have?
SrMgSc4S8


Number 2 is which compound?
SrMgSc4S8


energy of number 1 (MgScS3)?
-5.2638 eV per atom


What is the formula in the second record?
SrMgSc4S8